LaSmPu2Te5: optimized geometry, PBE.

a = 5.635 Å, b = 5.635 Å, c = 11.943 Å
α = 90.00°, β = 90.00°, γ = 90.00°
Positions (direct):
La: 0.000 0.000 0.000
Sm: 0.000 0.000 0.500
Pu: 0.500 0.500 0.333
Pu: 0.500 0.500 0.667
Te: 0.000 0.000 0.248
Te: 0.000 0.000 0.752
Te: 0.000 0.500 0.500
Te: 0.500 0.000 0.500
Te: 0.500 0.500 0.000

Computed properties:
Total energy = -6.72 eV per atom
Mass density = 6.2 g cm⁻³
M_tot = 11.95 μB/f.u.
Uncorrected formation energy = -716 meV/atom
Symmetry = P4/mmm


La4Sm3PuTe8: optimized geometry, PBE.

a = 9.027 Å, b = 9.027 Å, c = 9.027 Å
α = 59.96°, β = 59.96°, γ = 59.96°
Positions (direct):
La: 0.000 0.000 0.000
La: 0.000 0.500 0.500
La: 0.500 0.000 0.500
La: 0.500 0.500 0.000
Sm: 0.000 0.000 0.500
Sm: 0.000 0.500 0.000
Sm: 0.500 0.000 0.000
Pu: 0.500 0.500 0.500
Te: 0.247 0.247 0.247
Te: 0.248 0.746 0.746
Te: 0.254 0.254 0.752
Te: 0.254 0.752 0.254
Te: 0.746 0.248 0.746
Te: 0.746 0.746 0.248
Te: 0.752 0.254 0.254
Te: 0.753 0.753 0.753

Computed properties:
Total energy = -6.04 eV per atom
Mass density = 7.3 g cm⁻³
M_tot = 6.09 μB/f.u.
Uncorrected formation energy = -1460 meV/atom
Symmetry = R-3m


La3Sm2PuTe6: optimized geometry, PBE.

a = 10.087 Å, b = 10.087 Å, c = 9.056 Å
α = 103.06°, β = 103.06°, γ = 25.73°
Positions (direct):
La: 0.000 0.000 0.000
La: 0.333 0.333 0.666
La: 0.667 0.667 0.334
Sm: 0.335 0.335 0.169
Sm: 0.665 0.665 0.831
Pu: 0.000 0.000 0.500
Te: 0.164 0.164 0.587
Te: 0.169 0.169 0.078
Te: 0.499 0.499 0.257
Te: 0.501 0.501 0.743
Te: 0.831 0.831 0.922
Te: 0.836 0.836 0.413

Computed properties:
Total energy = -6.24 eV per atom
Mass density = 7.4 g cm⁻³
M_tot = 6.12 μB/f.u.
Uncorrected formation energy = -1452 meV/atom
Symmetry = C2/m


LaSmTmPu: optimized geometry, PBE.

a = 5.665 Å, b = 5.665 Å, c = 5.665 Å
α = 60.00°, β = 60.00°, γ = 60.00°
Positions (direct):
La: 0.000 0.000 0.000
Sm: 0.500 0.500 0.500
Tm: 0.250 0.250 0.250
Pu: 0.750 0.750 0.750

Computed properties:
Total energy = -6.91 eV per atom
Mass density = 9.1 g cm⁻³
M_tot = 7.62 μB/f.u.
Formation enthalpy at 0 K = 19 kJ/mol of atoms
Symmetry = F-43m


La2Sm3Y6Pu: optimized geometry, PBE.

a = 6.246 Å, b = 6.246 Å, c = 11.855 Å
α = 95.05°, β = 95.05°, γ = 120.05°
Positions (direct):
La: 0.167 0.833 0.000
La: 0.833 0.167 0.000
Sm: 0.000 0.000 0.500
Sm: 0.333 0.667 0.500
Sm: 0.667 0.333 0.500
Y: 0.088 0.417 0.750
Y: 0.255 0.255 0.250
Y: 0.417 0.088 0.750
Y: 0.583 0.912 0.250
Y: 0.745 0.745 0.750
Y: 0.912 0.583 0.250
Pu: 0.500 0.500 0.000

Computed properties:
Total energy = -6.38 eV per atom
Mass density = 6.3 g cm⁻³
M_tot = 6.42 μB/f.u.
Formation enthalpy at 0 K = 4 kJ/mol of atoms
Symmetry = C2/m


LaSmYPu: optimized geometry, PBE.

a = 5.704 Å, b = 5.704 Å, c = 5.704 Å
α = 60.00°, β = 60.00°, γ = 60.00°
Positions (direct):
La: 0.000 0.000 0.000
Sm: 0.500 0.500 0.500
Y: 0.750 0.750 0.750
Pu: 0.250 0.250 0.250

Computed properties:
Total energy = -7.40 eV per atom
Mass density = 7.9 g cm⁻³
M_tot = 7.62 μB/f.u.
Formation enthalpy at 0 K = 20 kJ/mol of atoms
Symmetry = F-43m


LaPuSn: optimized geometry, PBE.

a = 5.621 Å, b = 5.621 Å, c = 6.540 Å
α = 90.00°, β = 90.00°, γ = 120.00°
Positions (direct):
La: 0.333 0.667 0.250
La: 0.667 0.333 0.750
Pu: 0.000 0.000 0.000
Pu: 0.000 0.000 0.500
Sn: 0.333 0.667 0.750
Sn: 0.667 0.333 0.250

Computed properties:
Total energy = -8.22 eV per atom
Mass density = 9.3 g cm⁻³
M_tot = 6.75 μB/f.u.
Formation enthalpy at 0 K = -45 kJ/mol of atoms
Symmetry = P6_3/mmc


LaPuSn2: optimized geometry, PBE.

a = 3.497 Å, b = 3.497 Å, c = 9.157 Å
α = 90.00°, β = 90.00°, γ = 90.00°
Positions (direct):
La: 0.000 0.000 0.000
Pu: 0.000 0.000 0.500
Sn: 0.500 0.500 0.258
Sn: 0.500 0.500 0.742

Computed properties:
Total energy = -7.36 eV per atom
Mass density = 9.2 g cm⁻³
M_tot = 5.80 μB/f.u.
Formation enthalpy at 0 K = -53 kJ/mol of atoms
Symmetry = P4/mmm


La2PuSn: optimized geometry, PBE.

a = 4.186 Å, b = 4.186 Å, c = 7.076 Å
α = 90.00°, β = 90.00°, γ = 90.00°
Positions (direct):
La: 0.000 0.000 0.232
La: 0.000 0.000 0.768
Pu: 0.500 0.500 0.500
Sn: 0.500 0.500 0.000

Computed properties:
Total energy = -7.31 eV per atom
Mass density = 8.6 g cm⁻³
M_tot = 6.62 μB/f.u.
Formation enthalpy at 0 K = -26 kJ/mol of atoms
Symmetry = P4/mmm


La5PuSn4: optimized geometry, PBE.

a = 8.859 Å, b = 8.859 Å, c = 7.370 Å
α = 90.10°, β = 90.10°, γ = 36.78°
Positions (direct):
La: 0.000 0.000 0.000
La: 0.334 0.334 0.007
La: 0.335 0.335 0.490
La: 0.665 0.665 0.510
La: 0.666 0.666 0.993
Pu: 0.000 0.000 0.500
Sn: 0.174 0.174 0.749
Sn: 0.492 0.492 0.745
Sn: 0.508 0.508 0.255
Sn: 0.826 0.826 0.251

Computed properties:
Total energy = -6.01 eV per atom
Mass density = 6.8 g cm⁻³
M_tot = 6.04 μB/f.u.
Formation enthalpy at 0 K = -49 kJ/mol of atoms
Symmetry = C2/m


LaPu2Sn: optimized geometry, PBE.

a = 4.735 Å, b = 4.735 Å, c = 5.026 Å
α = 90.00°, β = 90.00°, γ = 90.00°
Positions (direct):
La: 0.000 0.000 0.000
Pu: 0.000 0.500 0.500
Pu: 0.500 0.000 0.500
Sn: 0.500 0.500 0.000

Computed properties:
Total energy = -9.69 eV per atom
Mass density = 11.0 g cm⁻³
M_tot = 12.52 μB/f.u.
Formation enthalpy at 0 K = -28 kJ/mol of atoms
Symmetry = P4/mmm


La2PuSn: optimized geometry, PBE.

a = 5.015 Å, b = 5.015 Å, c = 4.791 Å
α = 90.00°, β = 90.00°, γ = 90.00°
Positions (direct):
La: 0.000 0.500 0.000
La: 0.500 0.000 0.000
Pu: 0.000 0.000 0.500
Sn: 0.500 0.500 0.500

Computed properties:
Total energy = -7.41 eV per atom
Mass density = 8.8 g cm⁻³
M_tot = 6.75 μB/f.u.
Formation enthalpy at 0 K = -35 kJ/mol of atoms
Symmetry = P4/mmm